[1]
Compound: HoInIr
Source: Alexandria
Functional: PBE-GGA
Structure: relaxed

As for the formation energy: -0.4887 eV per atom. As for the total energy: -17.6 eV per formula unit.

The space group is I4mm (No. 107) and the conventional cell measures 3.279, 3.279 and 11.784 Å, with angles of 90.00, 90.00 and 90.00 degrees. Symmetry generates all atoms from Ho at (0.000, 0.000, 0.000), In at (0.000, 0.000, 0.710) and Ir at (0.000, 0.000, 0.352).


[2]
Compound: CaTmAu
Source: Alexandria
Functional: PBE-GGA
Structure: relaxed

As for the formation energy: -0.4444 eV per atom. The value obtained for the energy above the most stable polymorph in this dataset is 110 meV per atom. As for the total energy: -11.1 eV per formula unit.

The space group is F-43m (No. 216) and the conventional cell measures 7.042, 7.042 and 7.042 Å, with angles of 90.00, 90.00 and 90.00 degrees. Symmetry generates all atoms from Ca at (0.000, 0.000, 0.000), Tm at (0.000, 0.000, 0.500) and Au at (0.250, 0.250, 0.750).


[3]
Compound: TiCuRe3
Source: Alexandria
Functional: PBE-GGA
Structure: relaxed

As for the formation energy: 2.0636 eV per atom. The value obtained for the energy above the most stable polymorph in this dataset is 391 meV per atom. As for the total energy: -39.0 eV per formula unit.

The space group is Pm-3m (No. 221) and the conventional cell measures 4.527, 4.527 and 4.527 Å, with angles of 90.00, 90.00 and 90.00 degrees. Symmetry generates all atoms from Ti at (0.000, 0.000, 0.000), Cu at (0.500, 0.500, 0.500) and Re at (0.000, 0.000, 0.500).


[4]
Compound: KTiCu2Cl8
Source: Alexandria
Functional: PBE-GGA
Structure: relaxed

The calculation puts the formation energy (no corrections) at -1.176 eV/atom. As for the total energy: -46.1 eV per formula unit.

The space group is P-1 (No. 2) and the conventional cell measures 6.146, 6.860 and 8.500 Å, with angles of 70.03, 81.91 and 83.71 degrees. Symmetry generates all atoms from K at (0.000, 0.000, 0.000), Ti at (0.000, 0.500, 0.500), Cu at (0.486, 0.521, 0.817), Cl at (0.116, 0.484, 0.764), Cl at (0.149, 0.816, 0.369), Cl at (0.340, 0.318, 0.439) and Cl at (0.489, 0.762, 0.953).


[5]
Compound: K2Cd2Ag
Source: Alexandria
Functional: PBE-GGA
Structure: relaxed

As for the formation energy: 0.0826 eV per atom. The value obtained for the energy above the most stable polymorph in this dataset is 140 meV per atom. As for the total energy: -6.5 eV per formula unit.

The space group is I4/mmm (No. 139) and the conventional cell measures 6.853, 6.853 and 8.260 Å, with angles of 90.00, 90.00 and 90.00 degrees. Symmetry generates all atoms from K at (0.000, 0.500, 0.250), Cd at (0.000, 0.000, 0.169) and Ag at (0.000, 0.000, 0.500).


[6]
Compound: BeNi2Cl
Source: Alexandria
Functional: PBE-GGA
Structure: relaxed

The value obtained for the energy above the most stable polymorph in this dataset is 0 meV per atom. The calculation puts the formation energy (no corrections) at -0.030 eV/atom. As for the total energy: -17.3 eV per formula unit.

The space group is P2/m (No. 10) and the conventional cell measures 2.925, 2.700 and 6.292 Å, with angles of 90.00, 90.07 and 90.00 degrees. Symmetry generates all atoms from Be at (0.000, 0.000, 0.000), Ni at (0.499, 0.500, 0.808) and Cl at (0.500, 0.000, 0.500).


[7]
Compound: Nd7Ge2Pb2
Source: Alexandria
Functional: PBE-GGA
Structure: relaxed

As for the formation energy: -0.3696 eV per atom. As for the total energy: -54.1 eV per formula unit.

The space group is Cmmm (No. 65) and the conventional cell measures 8.791, 11.506 and 7.105 Å, with angles of 90.00, 90.00 and 90.00 degrees. Symmetry generates all atoms from Nd at (0.000, 0.000, 0.000), Nd at (0.000, 0.500, 0.241), Nd at (0.250, 0.250, 0.271), Ge at (0.000, 0.271, 0.000) and Pb at (0.181, 0.000, 0.500).


[8]
Compound: TiVBi3
Source: Alexandria
Functional: PBE-GGA
Structure: relaxed

As for the formation energy: 0.7164 eV per atom. The value obtained for the energy above the most stable polymorph in this dataset is 0 meV per atom. As for the total energy: -25.1 eV per formula unit.

The space group is Pm-3m (No. 221) and the conventional cell measures 5.382, 5.382 and 5.382 Å, with angles of 90.00, 90.00 and 90.00 degrees. Symmetry generates all atoms from Ti at (0.000, 0.000, 0.000), V at (0.500, 0.500, 0.500) and Bi at (0.000, 0.000, 0.500).